The following is a DFT calculation (PBE-GGA) of a relaxed structure of BaTc2Pt.

Lattice parameters (Å, degrees): 4.6910 4.1674 4.1674 90.00 90.00 90.00
Sites, in units of the cell vectors:
Ba  0.5000  0.5000  0.0000
Pt  0.5000  0.0000  0.5000
Tc  0.0000  0.0000  0.0000
Tc  0.0000  0.5000  0.5000

Calculated values
DFT formation energy in eV/f.u.: 4.2
Excess energy over the best structure of this formula in the dataset in eV/atom: 0.852
Symmetry: P4/mmm

The following is a DFT calculation (PBE-GGA) of a relaxed structure of Ga2GeO5.

Lattice parameters (Å, degrees): 4.9632 5.5531 5.5532 72.77 58.64 58.64
Sites, in units of the cell vectors:
Ga  0.5937  0.6070  0.0527
Ga  0.5937  0.0527  0.6070
Ge  0.9643  0.0108  0.0108
O  0.5520  0.2834  0.2834
O  0.0711  0.3036  0.8346
O  0.0711  0.8346  0.3036
O  0.4312  0.7625  0.7625
O  0.7230  0.9223  0.9223

Calculated values
Excess energy over the best structure of this formula in the dataset in eV/atom: 0.152
Symmetry: Cm

The following is a DFT calculation (PBE-GGA) of a relaxed structure of Sr3CaCu.

Lattice parameters (Å, degrees): 4.3490 10.0563 10.9646 117.27 90.00 90.00
Sites, in units of the cell vectors:
Sr  0.2500  0.6184  0.2704
Sr  0.7500  0.3816  0.7296
Sr  0.2500  0.0310  0.6768
Sr  0.7500  0.2349  0.0411
Sr  0.7500  0.9690  0.3232
Sr  0.2500  0.7651  0.9589
Ca  0.7500  0.6786  0.6001
Ca  0.2500  0.3214  0.3999
Cu  0.7500  0.5735  0.0450
Cu  0.2500  0.4265  0.9550

Calculated values
DFT formation energy in eV/f.u.: 0.0
Excess energy over the best structure of this formula in the dataset in eV/atom: 0.000
Symmetry: P2_1/m

The following is a DFT calculation (PBE-GGA) of a relaxed structure of ZrInW2.

Lattice parameters (Å, degrees): 2.9379 2.9379 9.4494 90.00 90.00 111.50
Sites, in units of the cell vectors:
In  0.5000  0.5000  0.7631
W  0.0000  0.0000  0.0189
W  0.5000  0.5000  0.2354
Zr  0.0000  0.0000  0.4826

Calculated values
DFT formation energy in eV/f.u.: 0.8
Symmetry: Cmm2

The following is a DFT calculation (PBE-GGA) of a relaxed structure of ZrAlNi.

Lattice parameters (Å, degrees): 3.0274 3.0274 6.3712 90.00 90.00 120.00
Sites, in units of the cell vectors:
Ni  0.6667  0.3333  0.3157
Al  0.0000  0.0000  0.0355
Zr  0.3333  0.6667  0.6488

Calculated values
DFT formation energy in eV/f.u.: -0.3
Symmetry: P3m1

The following is a DFT calculation (PBE-GGA) of a relaxed structure of ScTl.

Lattice parameters (Å, degrees): 6.1838 6.1838 6.1838 145.08 134.17 58.88
Sites, in units of the cell vectors:
Sc  0.3756  0.6256  0.2500
Sc  0.6244  0.3744  0.7500
Tl  0.8786  0.1286  0.2500
Tl  0.1214  0.8714  0.7500

Calculated values
DFT formation energy in eV/f.u.: -0.4
Symmetry: Imma

The following is a DFT calculation (PBE-GGA) of a relaxed structure of Hf2SiB.

Lattice parameters (Å, degrees): 3.4434 3.4434 6.7607 75.25 75.25 60.00
Sites, in units of the cell vectors:
Si  0.0000  0.0000  0.0000
B  0.5000  0.5000  0.5000
Hf  0.2353  0.2353  0.2942
Hf  0.7647  0.7647  0.7058

Calculated values
Excess energy over the best structure of this formula in the dataset in eV/atom: 0.228
Symmetry: R-3m

The following is a DFT calculation (PBE-GGA) of a relaxed structure of Sc2SeO.

Lattice parameters (Å, degrees): 5.4853 5.4853 6.5195 65.12 65.12 90.00
Sites, in units of the cell vectors:
Sc  0.5447  0.1250  0.2500
Sc  0.2053  0.6250  0.2500
Sc  0.3750  0.4553  0.7500
Sc  0.8750  0.7947  0.7500
O  0.5000  0.5000  0.0000
O  0.2500  0.7500  0.5000
Se  0.0000  0.0000  0.0000
Se  0.7500  0.2500  0.5000

Calculated values
Excess energy over the best structure of this formula in the dataset in eV/atom: 0.048
Symmetry: I-42d